Entry from Alexandria: a geometry-optimized LaAgTeS structure (GGA-PBE).

- E_form (uncorrected): -1.299 eV/atom
- N(E_F): 0.0 states/eV/f.u.
- Volume: 28.26 Å³ per atom
- Symmetry: No. 166

Unit cell a=12.0651 b=12.0651 c=12.0651 alpha=22.53 beta=22.53 gamma=22.53
With the nearest neighbours (Å) after each atom.
Atoms (fractional coordinates):
La: 0.1145 0.1145 0.1145  4 S 2.83-2.90
La: 0.8855 0.8855 0.8855  4 S 2.83-2.90
Ag: 0.3064 0.3064 0.3064  4 Te 2.90-2.91
Ag: 0.6936 0.6936 0.6936  4 Te 2.90-2.91
Te: 0.3888 0.3888 0.3888  4 Ag 2.90-2.91
Te: 0.6112 0.6112 0.6112  4 Ag 2.90-2.91
S: 0.1967 0.1967 0.1967  4 La 2.83-2.90
S: 0.8033 0.8033 0.8033  4 La 2.83-2.90